# 1
# Ba2TaAsPb | Alexandria | GGA-PBE | optimized geometry
# DFT formation energy   0.6563 eV/atom
# Total DFT energy (no corrections)   -20.775 eV per cell
data_Ba2TaAsPb
_space_group_name_H-M_alt 'P 1'
_space_group_IT_number 1
_cell_length_a 6.011
_cell_length_b 6.011
_cell_length_c 5.433
_cell_angle_alpha 90.00
_cell_angle_beta 90.00
_cell_angle_gamma 90.00
loop_
_space_group_symop_operation_xyz
'x,y,z'
loop_
_atom_site_label
_atom_site_type_symbol
_atom_site_fract_x
_atom_site_fract_y
_atom_site_fract_z
Ba1 Ba 0.000 0.500 0.000
Ba2 Ba 0.500 0.000 0.000
Ta1 Ta 0.000 0.000 0.000
As1 As 0.500 0.500 0.500
Pb1 Pb 0.000 0.000 0.500

---

# 2
# Y2SnBi | Alexandria | GGA-PBE | optimized geometry
# DFT formation energy   -0.7154 eV/atom
# Total DFT energy (no corrections)   -23.674 eV per cell
data_Y2SnBi
_space_group_name_H-M_alt 'P 1'
_space_group_IT_number 1
_cell_length_a 4.320
_cell_length_b 4.574
_cell_length_c 6.277
_cell_angle_alpha 90.00
_cell_angle_beta 110.20
_cell_angle_gamma 90.00
loop_
_space_group_symop_operation_xyz
'x,y,z'
loop_
_atom_site_label
_atom_site_type_symbol
_atom_site_fract_x
_atom_site_fract_y
_atom_site_fract_z
Y1 Y 0.000 0.000 0.000
Y2 Y 0.254 0.500 0.510
Sn1 Sn 0.736 0.000 0.476
Bi1 Bi 0.525 0.500 0.049

---

# 3
# LaPa2Ni9 | Alexandria | GGA-PBE | optimized geometry
# DFT formation energy   -0.3826 eV/atom
# Total DFT energy (no corrections)   -80.543 eV per cell
data_LaPa2Ni9
_space_group_name_H-M_alt 'P 1'
_space_group_IT_number 1
_cell_length_a 8.729
_cell_length_b 8.729
_cell_length_c 8.729
_cell_angle_alpha 33.01
_cell_angle_beta 33.01
_cell_angle_gamma 33.01
loop_
_space_group_symop_operation_xyz
'x,y,z'
loop_
_atom_site_label
_atom_site_type_symbol
_atom_site_fract_x
_atom_site_fract_y
_atom_site_fract_z
La1 La 0.000 0.000 0.000
Pa1 Pa 0.140 0.140 0.140
Pa2 Pa 0.860 0.860 0.860
Ni1 Ni 0.083 0.585 0.585
Ni2 Ni 0.333 0.333 0.333
Ni3 Ni 0.415 0.415 0.917
Ni4 Ni 0.415 0.917 0.415
Ni5 Ni 0.500 0.500 0.500
Ni6 Ni 0.585 0.083 0.585
Ni7 Ni 0.585 0.585 0.083
Ni8 Ni 0.667 0.667 0.667
Ni9 Ni 0.917 0.415 0.415

---

# 4
# Ba3AgTe | Alexandria | GGA-PBE | optimized geometry
# Raw formation energy   -0.38 eV per atom
# Total DFT energy (no corrections)   -13.638 eV per cell
data_Ba3AgTe
_space_group_name_H-M_alt 'P 1'
_space_group_IT_number 1
_cell_length_a 6.323
_cell_length_b 6.323
_cell_length_c 6.323
_cell_angle_alpha 90.00
_cell_angle_beta 90.00
_cell_angle_gamma 90.00
loop_
_space_group_symop_operation_xyz
'x,y,z'
loop_
_atom_site_label
_atom_site_type_symbol
_atom_site_fract_x
_atom_site_fract_y
_atom_site_fract_z
Ba1 Ba 0.000 0.000 0.500
Ba2 Ba 0.000 0.500 0.000
Ba3 Ba 0.500 0.000 0.000
Ag1 Ag 0.000 0.000 0.000
Te1 Te 0.500 0.500 0.500

---

# 5
# TlZnHg2I | Alexandria | GGA-PBE | optimized geometry
# Raw formation energy   0.11 eV per atom
# Total DFT energy (no corrections)   -5.262 eV per cell
data_TlZnHg2I
_space_group_name_H-M_alt 'P 1'
_space_group_IT_number 1
_cell_length_a 5.858
_cell_length_b 5.858
_cell_length_c 5.339
_cell_angle_alpha 90.00
_cell_angle_beta 90.00
_cell_angle_gamma 90.00
loop_
_space_group_symop_operation_xyz
'x,y,z'
loop_
_atom_site_label
_atom_site_type_symbol
_atom_site_fract_x
_atom_site_fract_y
_atom_site_fract_z
Tl1 Tl 0.000 0.000 0.000
Zn1 Zn 0.000 0.000 0.500
Hg1 Hg 0.000 0.500 0.000
Hg2 Hg 0.500 0.000 0.000
I1 I 0.500 0.500 0.500

---

# 6
# PaTi2Pd | Alexandria | GGA-PBE | optimized geometry
# DFT formation energy   -0.1777 eV/atom
# Total DFT energy (no corrections)   -31.189 eV per cell
data_PaTi2Pd
_space_group_name_H-M_alt 'P 1'
_space_group_IT_number 1
_cell_length_a 3.329
_cell_length_b 3.329
_cell_length_c 6.530
_cell_angle_alpha 90.00
_cell_angle_beta 90.00
_cell_angle_gamma 90.00
loop_
_space_group_symop_operation_xyz
'x,y,z'
loop_
_atom_site_label
_atom_site_type_symbol
_atom_site_fract_x
_atom_site_fract_y
_atom_site_fract_z
Pa1 Pa 0.000 0.000 0.000
Ti1 Ti 0.500 0.500 0.260
Ti2 Ti 0.500 0.500 0.740
Pd1 Pd 0.000 0.000 0.500

---

# 7
# KGa2PbAu5 | Alexandria | GGA-PBE | optimized geometry
# DFT formation energy   -0.1234 eV/atom
# Total DFT energy (no corrections)   -28.357 eV per cell
data_KGa2PbAu5
_space_group_name_H-M_alt 'P 1'
_space_group_IT_number 1
_cell_length_a 5.022
_cell_length_b 5.022
_cell_length_c 9.450
_cell_angle_alpha 90.00
_cell_angle_beta 90.00
_cell_angle_gamma 90.00
loop_
_space_group_symop_operation_xyz
'x,y,z'
loop_
_atom_site_label
_atom_site_type_symbol
_atom_site_fract_x
_atom_site_fract_y
_atom_site_fract_z
K1 K 0.000 0.000 0.000
Ga1 Ga 0.500 0.500 0.268
Ga2 Ga 0.500 0.500 0.732
Pb1 Pb 0.000 0.000 0.500
Au1 Au 0.000 0.500 0.322
Au2 Au 0.000 0.500 0.678
Au3 Au 0.500 0.000 0.322
Au4 Au 0.500 0.000 0.678
Au5 Au 0.500 0.500 0.000

---

# 8
# Sr2HfCuSi | Alexandria | GGA-PBE | optimized geometry
# Raw formation energy   0.48 eV per atom
# Total DFT energy (no corrections)   -20.419 eV per cell
data_Sr2HfCuSi
_space_group_name_H-M_alt 'P 1'
_space_group_IT_number 1
_cell_length_a 5.916
_cell_length_b 5.916
_cell_length_c 5.058
_cell_angle_alpha 90.00
_cell_angle_beta 90.00
_cell_angle_gamma 90.00
loop_
_space_group_symop_operation_xyz
'x,y,z'
loop_
_atom_site_label
_atom_site_type_symbol
_atom_site_fract_x
_atom_site_fract_y
_atom_site_fract_z
Sr1 Sr 0.000 0.500 0.000
Sr2 Sr 0.500 0.000 0.000
Hf1 Hf 0.000 0.000 0.500
Cu1 Cu 0.500 0.500 0.500
Si1 Si 0.000 0.000 0.000

---

# 9
# AcSn2Au4 | Alexandria | GGA-PBE | optimized geometry
# DFT formation energy   -0.1510 eV/atom
# Total DFT energy (no corrections)   -26.281 eV per cell
data_AcSn2Au4
_space_group_name_H-M_alt 'P 1'
_space_group_IT_number 1
_cell_length_a 6.605
_cell_length_b 6.605
_cell_length_c 6.605
_cell_angle_alpha 102.15
_cell_angle_beta 102.15
_cell_angle_gamma 125.39
loop_
_space_group_symop_operation_xyz
'x,y,z'
loop_
_atom_site_label
_atom_site_type_symbol
_atom_site_fract_x
_atom_site_fract_y
_atom_site_fract_z
Ac1 Ac 0.000 0.000 0.000
Sn1 Sn 0.250 0.750 0.500
Sn2 Sn 0.750 0.250 0.500
Au1 Au 0.270 0.500 0.770
Au2 Au 0.500 0.270 0.770
Au3 Au 0.500 0.730 0.230
Au4 Au 0.730 0.500 0.230

---

# 10
# PrCoSb2 | Alexandria | GGA-PBE | optimized geometry
# Raw formation energy   -0.63 eV per atom
# Total DFT energy (no corrections)   -45.303 eV per cell
data_PrCoSb2
_space_group_name_H-M_alt 'P 1'
_space_group_IT_number 1
_cell_length_a 4.394
_cell_length_b 4.394
_cell_length_c 9.934
_cell_angle_alpha 90.00
_cell_angle_beta 90.00
_cell_angle_gamma 90.00
loop_
_space_group_symop_operation_xyz
'x,y,z'
loop_
_atom_site_label
_atom_site_type_symbol
_atom_site_fract_x
_atom_site_fract_y
_atom_site_fract_z
Pr1 Pr 0.250 0.250 0.242
Pr2 Pr 0.750 0.750 0.758
Co1 Co 0.250 0.750 0.000
Co2 Co 0.750 0.250 0.000
Sb1 Sb 0.250 0.250 0.869
Sb2 Sb 0.250 0.750 0.500
Sb3 Sb 0.750 0.250 0.500
Sb4 Sb 0.750 0.750 0.131